Entry from Alexandria via LeMat-Bulk: a relaxed structure of Pr12Bi3N5 (GGA-PBE).

a = 16.4941 Å, b = 16.4941 Å, c = 16.4941 Å
α = 90.00°, β = 90.00°, γ = 90.00°
Last column: nearest neighbours and their distance in Å.
Space group Ia-3d (No. 230)
Asymmetric unit:
1 Pr 0.0391 0.0486 0.6468 x96  2 N 2.36-2.63
2 Bi 0.0000 0.2500 0.1250 x24  8 Pr 3.30-3.40
3 N 0.0000 0.0000 0.0000 x16  6 Pr 2.63
4 N 0.0000 0.2500 0.3750 x24  4 Pr 2.36

Results
Energy ... -6.365 eV/atom
Energy relative to the elements, uncorrected ... -0.834 eV per atom
Calculated volume ... 28.0 Å³/atom


Entry from Alexandria via LeMat-Bulk: a relaxed structure of NpNi7Sn2P2 (GGA-PBE).

a = 5.5340 Å, b = 5.3165 Å, c = 12.4774 Å
α = 90.00°, β = 96.51°, γ = 90.00°
Last column: nearest neighbours and their distance in Å.
Space group C2/m (No. 12)
Asymmetric unit:
1 Np 0.0000 0.0000 0.0000 x2  4 Ni 2.66-2.77, 2 P 2.94
2 Ni 0.0000 0.5000 0.0000 x2  2 P 2.14
3 Ni 0.0705 0.2505 0.7504 x8  2 P 2.19
4 Ni 0.2121 0.5000 0.3843 x4  4 Ni 2.54-2.55, 5 Sn 2.59-2.79, 1 P 2.73
5 Sn 0.2193 0.0000 0.4070 x4  9 Ni 2.59-2.79
6 P 0.1585 0.5000 0.1644 x4  5 Ni 2.14-2.19

Results
Energy ... -6.306 eV/atom
Formation energy from the elements ... -286 meV/atom
Calculated volume ... 15.2 Å³/atom